No. 1
Compound: BaSe2Br
Source: Alexandria
Functional: PBE
Structure: optimized geometry

Cell lengths 4.0123, 4.0128, 8.3179 Å; angles 90.00, 90.00, 90.00 degrees
Element x y z (fractional)
Ba: 0.0000 0.0000 0.4956
Br: 0.5000 0.5000 0.6892
Se: 0.0000 0.0000 0.1307
Se: 0.5000 0.5000 0.1845

formation energy from raw total energies	-1.062	eV per atom
N(E_F)	0.035	states/eV/atom
energy above the most stable polymorph in this dataset	162	meV per atom

No. 2
Compound: BaSe2Br
Source: Alexandria
Functional: PBE
Structure: optimized geometry

Cell lengths 5.9555, 5.9555, 5.9555 Å; angles 53.42, 53.42, 53.42 degrees
Element x y z (fractional)
Se: 0.7943 0.7943 0.7943
Se: 0.2057 0.2057 0.2057
Ba: 0.0000 0.0000 0.0000
Br: 0.5000 0.5000 0.5000

formation energy from raw total energies	-0.637	eV per atom
N(E_F)	0.912	states/eV/atom
energy above the most stable polymorph in this dataset	588	meV per atom

No. 3
Compound: BaSeBr2
Source: Alexandria
Functional: PBE
Structure: optimized geometry

Cell lengths 4.6148, 5.1056, 5.1056 Å; angles 90.00, 90.00, 90.00 degrees
Element x y z (fractional)
Ba: 0.5000 0.0000 0.5000
Br: 0.0000 0.0000 0.0000
Br: 0.0000 0.5000 0.5000
Se: 0.5000 0.5000 0.0000

formation energy from raw total energies	-1.065	eV per atom
N(E_F)	1.066	states/eV/atom
energy above the most stable polymorph in this dataset	308	meV per atom

No. 4
Compound: BaSe2Br
Source: Alexandria
Functional: PBE
Structure: optimized geometry

Cell lengths 8.1934, 8.1934, 8.1934 Å; angles 37.76, 37.76, 37.76 degrees
Last column: magnetic moment on the atom in μB.
Element x y z (fractional)
Se: 0.8866 0.8866 0.8866  0.26
Se: 0.1134 0.1134 0.1134  0.26
Ba: 0.5000 0.5000 0.5000  0.01
Br: 0.0000 0.0000 0.0000  0.09

formation energy from raw total energies	-0.784	eV per atom
N(E_F)	1.040	states/eV/atom
energy above the most stable polymorph in this dataset	440	meV per atom

No. 5
Compound: BaSe2Br
Source: Alexandria
Functional: PBE
Structure: optimized geometry

Cell lengths 6.5910, 6.5910, 5.0916 Å; angles 81.43, 81.43, 38.89 degrees
Element x y z (fractional)
Ba: 0.7500 0.7500 0.7500
Br: 0.2500 0.2500 0.2500
Se: 0.0058 0.0058 0.8690
Se: 0.4942 0.4942 0.6310

formation energy from raw total energies	-1.224	eV per atom
N(E_F)	0.308	states/eV/atom
energy above the most stable polymorph in this dataset	0	meV per atom

No. 6
Compound: BaSe2Br2
Source: Alexandria
Functional: PBE
Structure: optimized geometry

Cell lengths 3.8762, 3.8762, 12.6176 Å; angles 81.16, 81.16, 90.00 degrees
Element x y z (fractional)
Se: 0.7500 0.2500 0.5000
Se: 0.2500 0.7500 0.5000
Ba: 0.0000 0.0000 0.0000
Br: 0.4250 0.4250 0.1500
Br: 0.5750 0.5750 0.8500

formation energy from raw total energies	-1.073	eV per atom
N(E_F)	0.277	states/eV/atom

No. 7
Compound: BaSeBr2
Source: Alexandria
Functional: PBE
Structure: optimized geometry

Cell lengths 8.1147, 8.1147, 4.4084 Å; angles 74.12, 74.12, 30.71 degrees
Element x y z (fractional)
Ba: 0.1886 0.1886 0.3110
Br: 0.0219 0.0219 0.9789
Br: 0.7686 0.7686 0.7303
Se: 0.5210 0.5210 0.4798

formation energy from raw total energies	-1.207	eV per atom
N(E_F)	0.282	states/eV/atom
energy above the most stable polymorph in this dataset	166	meV per atom

No. 8
Compound: BaSeBr2
Source: Alexandria
Functional: PBE
Structure: optimized geometry

Cell lengths 5.9049, 5.1852, 6.2869 Å; angles 52.33, 90.00, 90.00 degrees
Element x y z (fractional)
Ba: 0.5000 0.0326 0.7273
Br: 0.0000 0.7904 0.0712
Br: 0.5000 0.2448 0.1275
Se: 0.0000 0.4322 0.5740

formation energy from raw total energies	-1.306	eV per atom
N(E_F)	0.017	states/eV/atom
energy above the most stable polymorph in this dataset	67	meV per atom

No. 9
Compound: BaSe4Br
Source: Alexandria
Functional: PBE
Structure: optimized geometry

Cell lengths 5.9814, 5.9814, 5.9814 Å; angles 60.00, 60.00, 60.00 degrees
Element x y z (fractional)
Ba: 0.7500 0.7500 0.7500
Se: 0.8776 0.3741 0.3741
Se: 0.3741 0.3741 0.8776
Se: 0.3741 0.8776 0.3741
Se: 0.3741 0.3741 0.3741
Br: 0.0000 0.0000 0.0000

formation energy from raw total energies	-0.481	eV per atom
N(E_F)	1.485	states/eV/atom

No. 10
Compound: BaSe2Br
Source: Alexandria
Functional: PBE
Structure: optimized geometry

Cell lengths 6.8875, 6.8875, 6.8875 Å; angles 143.12, 143.06, 53.19 degrees
Element x y z (fractional)
Ba: 0.7500 0.2500 0.5000
Br: 0.2500 0.7500 0.5000
Se: 0.9998 0.9998 0.0000
Se: 0.5002 0.5002 0.0000

formation energy from raw total energies	-1.043	eV per atom
N(E_F)	0.366	states/eV/atom
energy above the most stable polymorph in this dataset	181	meV per atom

No. 11
Compound: BaSeBr2
Source: Alexandria
Functional: PBE
Structure: optimized geometry

Cell lengths 4.7854, 5.7965, 5.8045 Å; angles 79.05, 90.00, 90.00 degrees
Last column: magnetic moment on the atom in μB.
Element x y z (fractional)
Ba: 0.5000 0.7500 0.7500  0.02
Br: 0.0000 0.9890 0.9887  0.16
Br: 0.0000 0.5110 0.5113  0.16
Se: 0.5000 0.2500 0.2500  0.94

formation energy from raw total energies	-0.999	eV per atom
N(E_F)	0.025	states/eV/atom
energy above the most stable polymorph in this dataset	373	meV per atom

No. 12
Compound: BaSe2Br
Source: Alexandria
Functional: PBE
Structure: optimized geometry

Cell lengths 5.6580, 5.6017, 5.5759 Å; angles 73.28, 65.43, 107.34 degrees
Element x y z (fractional)
Ba: 0.0000 0.5000 0.5000
Br: 0.5000 0.5000 0.0000
Se: 0.0000 0.0000 0.0000
Se: 0.5000 0.0000 0.5000

formation energy from raw total energies	-0.847	eV per atom
N(E_F)	0.871	states/eV/atom
energy above the most stable polymorph in this dataset	377	meV per atom

No. 13
Compound: Ba2SeBr2
Source: Alexandria
Functional: PBE
Structure: optimized geometry

Cell lengths 8.2583, 8.1500, 11.4763 Å; angles 93.37, 90.00, 90.00 degrees
Element x y z (fractional)
Ba: 0.9264 0.3094 0.8141
Ba: 0.5736 0.8094 0.8141
Ba: 0.4264 0.1906 0.1859
Ba: 0.0736 0.6906 0.1859
Ba: 0.4409 0.2592 0.5904
Ba: 0.0591 0.7592 0.5904
Ba: 0.9409 0.2408 0.4096
Ba: 0.5591 0.7408 0.4096
Se: 0.7499 0.5124 0.6029
Se: 0.2501 0.4876 0.3971
Se: 0.7501 0.0124 0.6029
Se: 0.2499 0.9876 0.3971
Br: 0.9042 0.6978 0.9238
Br: 0.5958 0.1978 0.9238
Br: 0.4042 0.8022 0.0762
Br: 0.0958 0.3022 0.0762
Br: 0.2253 0.0370 0.7625
Br: 0.2747 0.5370 0.7625
Br: 0.7253 0.4630 0.2375
Br: 0.7747 0.9630 0.2375

formation energy from raw total energies	-2.080	eV per atom
N(E_F)	0.000	states/eV/atom

No. 14
Compound: BaSeBr2
Source: Alexandria
Functional: PBE
Structure: optimized geometry

Cell lengths 5.6609, 5.6609, 5.6609 Å; angles 60.00, 60.00, 60.00 degrees
Last column: magnetic moment on the atom in μB.
Element x y z (fractional)
Se: 0.0000 0.0000 0.0000  0.93
Ba: 0.5000 0.5000 0.5000  0.01
Br: 0.2500 0.2500 0.2500  0.18
Br: 0.7500 0.7500 0.7500  0.18

formation energy from raw total energies	-1.058	eV per atom
N(E_F)	0.940	states/eV/atom
energy above the most stable polymorph in this dataset	314	meV per atom

No. 15
Compound: Ba4SeBr
Source: Alexandria
Functional: PBE
Structure: optimized geometry

Cell lengths 7.2449, 7.2449, 7.2449 Å; angles 60.00, 60.00, 60.00 degrees
Last column: magnetic moment on the atom in μB.
Element x y z (fractional)
Ba: 0.8773 0.3742 0.3742  0.15
Ba: 0.3742 0.3742 0.8773  0.15
Ba: 0.3742 0.8773 0.3742  0.15
Ba: 0.3742 0.3742 0.3742  0.15
Se: 0.0000 0.0000 0.0000  -0.01
Br: 0.7500 0.7500 0.7500  0.00

formation energy from raw total energies	-0.230	eV per atom
N(E_F)	1.147	states/eV/atom

No. 16
Compound: Ba9Se2Br14
Source: Alexandria
Functional: PBE
Structure: optimized geometry

Cell lengths 9.5890, 9.5890, 13.2751 Å; angles 90.00, 90.00, 120.00 degrees
Last column: magnetic moment on the atom in μB.
Element x y z (fractional)
Ba: 0.2957 0.9477 0.3407  0.00
Ba: 0.0523 0.3481 0.3407  0.00
Ba: 0.3333 0.6667 0.0256  0.00
Ba: 0.0000 0.0000 0.0000  0.00
Ba: 0.3481 0.2957 0.6593  0.00
Ba: 0.6519 0.7043 0.3407  0.00
Ba: 0.6667 0.3333 0.9744  0.00
Ba: 0.9477 0.6519 0.6593  0.00
Ba: 0.7043 0.0523 0.6593  0.00
Se: 0.3333 0.6667 0.2579  0.08
Se: 0.6667 0.3333 0.7421  0.08
Br: 0.0340 0.6820 0.9085  0.00
Br: 0.3182 0.9390 0.5927  0.00
Br: 0.0610 0.3792 0.5927  0.00
Br: 0.0000 0.0000 0.2549  0.00
Br: 0.0000 0.0000 0.7451  0.00
Br: 0.3180 0.3520 0.9085  0.00
Br: 0.6480 0.9660 0.9085  0.00
Br: 0.3792 0.3182 0.4073  0.00
Br: 0.6208 0.6818 0.5927  0.00
Br: 0.3520 0.0340 0.0915  0.00
Br: 0.6820 0.6480 0.0915  0.00
Br: 0.9390 0.6208 0.4073  0.00
Br: 0.6818 0.0610 0.4073  0.00
Br: 0.9660 0.3180 0.0915  0.00

formation energy from raw total energies	-2.156	eV per atom
N(E_F)	0.000	states/eV/atom

No. 17
Compound: BaSeBr2
Source: Alexandria
Functional: PBE
Structure: optimized geometry

Cell lengths 4.7766, 4.7766, 6.4732 Å; angles 90.00, 90.00, 90.02 degrees
Element x y z (fractional)
Ba: 0.5000 0.5000 0.7119
Br: 0.0000 0.0000 0.9655
Br: 0.5000 0.5000 0.2282
Se: 0.0000 0.0000 0.5943

formation energy from raw total energies	-1.213	eV per atom
energy above the most stable polymorph in this dataset	159	meV per atom

No. 18
Compound: BaSe3Br
Source: Alexandria
Functional: PBE
Structure: optimized geometry

Cell lengths 6.4589, 6.4589, 6.4589 Å; angles 90.00, 90.00, 90.00 degrees
Last column: magnetic moment on the atom in μB.
Element x y z (fractional)
Se: 0.0000 0.5000 0.0000  0.82
Se: 0.0000 0.0000 0.5000  0.93
Se: 0.5000 0.0000 0.0000  0.77
Ba: 0.0000 0.0000 0.0000  -0.02
Br: 0.5000 0.5000 0.5000  0.47

formation energy from raw total energies	0.265	eV per atom
N(E_F)	1.280	states/eV/atom
energy above the most stable polymorph in this dataset	644	meV per atom

No. 19
Compound: BaSeBr2
Source: Alexandria
Functional: PBE
Structure: optimized geometry

Cell lengths 7.2333, 7.2333, 5.0805 Å; angles 89.45, 89.45, 36.56 degrees
Element x y z (fractional)
Ba: 0.2500 0.2500 0.2500
Br: 0.9097 0.9097 0.0369
Br: 0.5903 0.5903 0.4631
Se: 0.7500 0.7500 0.7500

formation energy from raw total energies	-1.372	eV per atom
N(E_F)	0.000	states/eV/atom
energy above the most stable polymorph in this dataset	0	meV per atom

No. 20
Compound: BaSeBr4
Source: Alexandria
Functional: PBE
Structure: optimized geometry

Cell lengths 6.7483, 6.7483, 6.7485 Å; angles 111.40, 111.40, 105.68 degrees
Element x y z (fractional)
Ba: 0.7500 0.2500 0.5000
Se: 0.5000 0.5000 0.0000
Br: 0.2559 0.2577 0.5119
Br: 0.7458 0.7440 0.4881
Br: 0.2560 0.7441 0.0018
Br: 0.7424 0.2543 0.9982

formation energy from raw total energies	-1.101	eV per atom
N(E_F)	0.000	states/eV/atom
energy above the most stable polymorph in this dataset	0	meV per atom

No. 21
Compound: BaSeBr2
Source: Alexandria
Functional: PBE
Structure: optimized geometry

Cell lengths 5.1991, 5.1991, 10.9529 Å; angles 76.27, 76.27, 90.00 degrees
Element x y z (fractional)
Se: 0.5000 0.5000 0.0000
Se: 0.2500 0.7500 0.5000
Ba: 0.0000 0.0000 0.0000
Ba: 0.7500 0.2500 0.5000
Br: 0.5951 0.1250 0.2500
Br: 0.1549 0.6250 0.2500
Br: 0.3750 0.4049 0.7500
Br: 0.8750 0.8451 0.7500

formation energy from raw total energies	-1.065	eV per atom
N(E_F)	0.323	states/eV/atom
energy above the most stable polymorph in this dataset	308	meV per atom

No. 22
Compound: BaSe3Br
Source: Alexandria
Functional: PBE
Structure: optimized geometry

Cell lengths 5.3203, 5.3203, 5.3203 Å; angles 90.00, 90.00, 90.00 degrees
Element x y z (fractional)
Se: 0.0000 0.5000 0.0000
Se: 0.0000 0.0000 0.5000
Se: 0.5000 0.0000 0.0000
Ba: 0.5000 0.5000 0.5000
Br: 0.0000 0.0000 0.0000

formation energy from raw total energies	-0.379	eV per atom
N(E_F)	0.523	states/eV/atom
energy above the most stable polymorph in this dataset	0	meV per atom

No. 23
Compound: BaSe2Br
Source: Alexandria
Functional: PBE
Structure: optimized geometry

Cell lengths 6.2574, 6.2574, 6.2574 Å; angles 136.47, 136.47, 63.26 degrees
Element x y z (fractional)
Ba: 0.5000 0.5000 0.0000
Br: 0.7500 0.2500 0.5000
Se: 0.0000 0.0000 0.0000
Se: 0.2500 0.7500 0.5000

formation energy from raw total energies	-0.732	eV per atom
N(E_F)	0.789	states/eV/atom
energy above the most stable polymorph in this dataset	492	meV per atom

No. 24
Compound: BaSeBr2
Source: Alexandria
Functional: PBE
Structure: optimized geometry

Cell lengths 7.5883, 7.5883, 7.5883 Å; angles 38.37, 38.37, 38.37 degrees
Element x y z (fractional)
Ba: 0.7599 0.7599 0.7599
Br: 0.0185 0.0185 0.0185
Br: 0.1966 0.1966 0.1966
Se: 0.5250 0.5250 0.5250

formation energy from raw total energies	-1.115	eV per atom
N(E_F)	0.699	states/eV/atom
energy above the most stable polymorph in this dataset	257	meV per atom

No. 25
Compound: BaSe2Br
Source: Alexandria
Functional: PBE
Structure: optimized geometry

Cell lengths 8.1437, 8.1437, 8.1437 Å; angles 33.71, 33.71, 33.71 degrees
Last column: magnetic moment on the atom in μB.
Element x y z (fractional)
Ba: 0.5115 0.5115 0.5115  0.01
Br: 0.7699 0.7699 0.7699  0.00
Se: 0.9508 0.9508 0.9508  0.08
Se: 0.2678 0.2678 0.2678  0.07

formation energy from raw total energies	-1.051	eV per atom
N(E_F)	0.986	states/eV/atom
energy above the most stable polymorph in this dataset	173	meV per atom

No. 26
Compound: BaSe2Br
Source: Alexandria
Functional: PBE
Structure: optimized geometry

Cell lengths 5.9291, 5.9291, 9.7679 Å; angles 72.33, 72.33, 90.00 degrees
Element x y z (fractional)
Se: 0.5511 0.1250 0.2500
Se: 0.1989 0.6250 0.2500
Se: 0.3750 0.4489 0.7500
Se: 0.8750 0.8011 0.7500
Ba: 0.0000 0.0000 0.0000
Ba: 0.7500 0.2500 0.5000
Br: 0.5000 0.5000 0.0000
Br: 0.2500 0.7500 0.5000

formation energy from raw total energies	-0.536	eV per atom
N(E_F)	0.194	states/eV/atom
energy above the most stable polymorph in this dataset	688	meV per atom

No. 27
Compound: Ba3SeBr3
Source: Alexandria
Functional: PBE
Structure: optimized geometry

Cell lengths 6.5961, 6.5961, 6.5961 Å; angles 90.00, 90.00, 90.00 degrees
Element x y z (fractional)
Ba: 0.5000 0.0000 0.5000
Ba: 0.5000 0.5000 0.0000
Ba: 0.0000 0.5000 0.5000
Se: 0.5000 0.5000 0.5000
Br: 0.0000 0.5000 0.0000
Br: 0.0000 0.0000 0.5000
Br: 0.5000 0.0000 0.0000

formation energy from raw total energies	-1.962	eV per atom
N(E_F)	0.467	states/eV/atom
energy above the most stable polymorph in this dataset	0	meV per atom